#a
The following is a PBE calculation of a geometry-optimized CsFeP2 structure, from Alexandria via LeMat-Bulk.

The space group is I4_1/amd (No. 141, origin choice 2) and the conventional cell measures 6.0874, 6.0874 and 11.4919 Å, with angles of 90.00, 90.00 and 90.00 degrees. The distinct sites, in fractional coordinates, are Cs at (0.0000, 0.2500, 0.3750), Fe at (0.0000, 0.2500, 0.8750) and P at (0.0000, 0.0000, 0.0000).

The calculation puts the density of states at the Fermi level at 11.425 states/eV/cell. For the density, the calculation gives 3.9 g cm⁻³.

#b
The following is a PBE calculation of a geometry-optimized CsFeP2 structure, from Alexandria via LeMat-Bulk.

The space group is Fm-3m (No. 225) and the conventional cell measures 7.0720, 7.0720 and 7.0720 Å, with angles of 90.00, 90.00 and 90.00 degrees. The distinct sites, in fractional coordinates, are Cs at (0.0000, 0.0000, 0.0000), Fe at (0.0000, 0.0000, 0.5000) and P at (0.2500, 0.2500, 0.2500).

The calculation puts the density of states at the Fermi level at 14.269 states/eV/cell. For the density, the calculation gives 4.7 g cm⁻³.

Relative energies with respect to the most stable structure, expressed in eV/atom: #a 0.000; #b 1.336.

#a
The following is a PBE calculation of a geometry-optimized CsFeP3 structure, from Alexandria via LeMat-Bulk.

The space group is Pm-3m (No. 221) and the conventional cell measures 5.3187, 5.3187 and 5.3187 Å, with angles of 90.00, 90.00 and 90.00 degrees. The distinct sites, in fractional coordinates, are Cs at (0.0000, 0.0000, 0.0000), Fe at (0.5000, 0.5000, 0.5000) and P at (0.0000, 0.0000, 0.5000).

The calculation puts the density of states at the Fermi level at 9.431 states/eV/cell. For the density, the calculation gives 3.1 g cm⁻³.

#b
The following is a PBE calculation of a geometry-optimized CsFeP3 structure, from Alexandria via LeMat-Bulk.

The space group is Pm-3m (No. 221) and the conventional cell measures 4.6619, 4.6619 and 4.6619 Å, with angles of 90.00, 90.00 and 90.00 degrees. The distinct sites, in fractional coordinates, are Cs at (0.0000, 0.0000, 0.0000), Fe at (0.5000, 0.5000, 0.5000) and P at (0.0000, 0.5000, 0.5000).

The calculation puts the density of states at the Fermi level at 7.672 states/eV/cell. For the density, the calculation gives 4.6 g cm⁻³.

Relative energies with respect to the most stable structure, expressed in eV/atom: #a 2.012; #b 0.000.

#a
The following is a PBE calculation of a geometry-optimized CsFe3Pb structure, from Alexandria via LeMat-Bulk.

The space group is Pm-3m (No. 221) and the conventional cell measures 4.9943, 4.9943 and 4.9943 Å, with angles of 90.00, 90.00 and 90.00 degrees. The distinct sites, in fractional coordinates, are Cs at (0.0000, 0.0000, 0.0000), Fe at (0.0000, 0.5000, 0.5000) and Pb at (0.5000, 0.5000, 0.5000).

The calculation puts the density of states at the Fermi level at 9.980 states/eV/cell. For the density, the calculation gives 6.8 g cm⁻³.

#b
The following is a PBE calculation of a geometry-optimized CsFe3Pb structure, from Alexandria via LeMat-Bulk.

The space group is Pm-3m (No. 221) and the conventional cell measures 4.9398, 4.9398 and 4.9398 Å, with angles of 90.00, 90.00 and 90.00 degrees. The distinct sites, in fractional coordinates, are Cs at (0.0000, 0.0000, 0.0000), Fe at (0.0000, 0.0000, 0.5000) and Pb at (0.5000, 0.5000, 0.5000).

The calculation puts the density of states at the Fermi level at 11.055 states/eV/cell. For the density, the calculation gives 7.0 g cm⁻³.

Relative energies with respect to the most stable structure, expressed in eV/atom: #a 0.000; #b 0.817.

#a
The following is a PBE calculation of a geometry-optimized CsFeRh3 structure, from Alexandria via LeMat-Bulk.

The space group is Pm-3m (No. 221) and the conventional cell measures 4.6602, 4.6602 and 4.6602 Å, with angles of 90.00, 90.00 and 90.00 degrees. The distinct sites, in fractional coordinates, are Cs at (0.0000, 0.0000, 0.0000), Fe at (0.5000, 0.5000, 0.5000) and Rh at (0.0000, 0.5000, 0.5000).

The calculation puts the density of states at the Fermi level at 8.963 states/eV/cell. For the density, the calculation gives 8.2 g cm⁻³.

#b
The following is a PBE calculation of a geometry-optimized CsFeRh3 structure, from Alexandria via LeMat-Bulk.

The space group is Pm-3m (No. 221) and the conventional cell measures 4.8955, 4.8955 and 4.8955 Å, with angles of 90.00, 90.00 and 90.00 degrees. The distinct sites, in fractional coordinates, are Cs at (0.0000, 0.0000, 0.0000), Fe at (0.5000, 0.5000, 0.5000) and Rh at (0.0000, 0.0000, 0.5000).

The calculation puts the density of states at the Fermi level at 6.443 states/eV/cell. For the density, the calculation gives 7.0 g cm⁻³.

Relative energies with respect to the most stable structure, expressed in eV/atom: #a 0.000; #b 1.286.

#a
The following is a PBE calculation of a geometry-optimized CsFeRu3 structure, from Alexandria via LeMat-Bulk.

The space group is Pm-3m (No. 221) and the conventional cell measures 4.6254, 4.6254 and 4.6254 Å, with angles of 90.00, 90.00 and 90.00 degrees. The distinct sites, in fractional coordinates, are Cs at (0.0000, 0.0000, 0.0000), Fe at (0.5000, 0.5000, 0.5000) and Ru at (0.0000, 0.5000, 0.5000).

The calculation puts the density of states at the Fermi level at 7.503 states/eV/cell. For the density, the calculation gives 8.3 g cm⁻³.

#b
The following is a PBE calculation of a geometry-optimized CsFeRu3 structure, from Alexandria via LeMat-Bulk.

The space group is Pm-3m (No. 221) and the conventional cell measures 4.8298, 4.8298 and 4.8298 Å, with angles of 90.00, 90.00 and 90.00 degrees. The distinct sites, in fractional coordinates, are Cs at (0.0000, 0.0000, 0.0000), Fe at (0.5000, 0.5000, 0.5000) and Ru at (0.0000, 0.0000, 0.5000).

The calculation puts the density of states at the Fermi level at 10.569 states/eV/cell. For the density, the calculation gives 7.3 g cm⁻³.

Relative energies with respect to the most stable structure, expressed in eV/atom: #a 0.000; #b 1.771.

#a
The following is a PBE calculation of a geometry-optimized CsSc2Fe structure, from Alexandria via LeMat-Bulk.

The space group is Fd-3m (No. 227, origin choice 2) and the conventional cell measures 10.5886, 10.5886 and 10.5886 Å, with angles of 90.00, 90.00 and 90.00 degrees. The distinct sites, in fractional coordinates, are Cs at (0.1250, 0.1250, 0.1250), Sc at (0.0000, 0.0000, 0.5000) and Fe at (0.1250, 0.1250, 0.6250).

The calculation puts the density of states at the Fermi level at 45.185 states/eV/cell. For the density, the calculation gives 3.1 g cm⁻³.

#b
The following is a PBE calculation of a geometry-optimized CsSc2Fe structure, from Alexandria via LeMat-Bulk.

The space group is R-3m (No. 166, hexagonal axes) and the conventional cell measures 3.6849, 3.6849 and 30.7704 Å, with angles of 90.00, 90.00 and 120.00 degrees. The distinct sites, in fractional coordinates, are Cs at (0.0000, 0.0000, 0.0000), Sc at (0.0000, 0.0000, 0.1226) and Fe at (0.0000, 0.0000, 0.5000).

The calculation puts the density of states at the Fermi level at 16.612 states/eV/cell. For the density, the calculation gives 3.8 g cm⁻³.

Relative energies with respect to the most stable structure, expressed in eV/atom: #a 0.201; #b 0.000.

#a
The following is a PBE calculation of a geometry-optimized CsFeSi3 structure, from Alexandria via LeMat-Bulk.

The space group is Pm-3m (No. 221) and the conventional cell measures 4.6158, 4.6158 and 4.6158 Å, with angles of 90.00, 90.00 and 90.00 degrees. The distinct sites, in fractional coordinates, are Cs at (0.0000, 0.0000, 0.0000), Fe at (0.5000, 0.5000, 0.5000) and Si at (0.0000, 0.5000, 0.5000).

The calculation puts the density of states at the Fermi level at 5.878 states/eV/cell. For the density, the calculation gives 4.6 g cm⁻³.

#b
The following is a PBE calculation of a geometry-optimized CsFeSi3 structure, from Alexandria via LeMat-Bulk.

The space group is Pm-3m (No. 221) and the conventional cell measures 5.3727, 5.3727 and 5.3727 Å, with angles of 90.00, 90.00 and 90.00 degrees. The distinct sites, in fractional coordinates, are Cs at (0.0000, 0.0000, 0.0000), Fe at (0.5000, 0.5000, 0.5000) and Si at (0.0000, 0.0000, 0.5000).

The calculation puts the density of states at the Fermi level at 16.897 states/eV/cell. For the density, the calculation gives 2.9 g cm⁻³.

Relative energies with respect to the most stable structure, expressed in eV/atom: #a 0.000; #b 2.572.

#a
The following is a PBE calculation of a geometry-optimized CsSrFe2 structure, from Alexandria via LeMat-Bulk.

The space group is Fm-3m (No. 225) and the conventional cell measures 7.9032, 7.9032 and 7.9032 Å, with angles of 90.00, 90.00 and 90.00 degrees. The distinct sites, in fractional coordinates, are Cs at (0.0000, 0.0000, 0.0000), Sr at (0.0000, 0.0000, 0.5000) and Fe at (0.2500, 0.2500, 0.2500).

The calculation puts the density of states at the Fermi level at 60.540 states/eV/cell. For the density, the calculation gives 4.5 g cm⁻³.

#b
The following is a PBE calculation of a geometry-optimized CsSrFe2 structure, from Alexandria via LeMat-Bulk.

The space group is I-42d (No. 122) and the conventional cell measures 8.7549, 8.7549 and 6.2818 Å, with angles of 90.00, 90.00 and 90.00 degrees. The distinct sites, in fractional coordinates, are Cs at (0.0000, 0.0000, 0.0000), Sr at (0.0000, 0.0000, 0.5000) and Fe at (0.2461, 0.2500, 0.6250).

The calculation puts the density of states at the Fermi level at 50.217 states/eV/cell. For the density, the calculation gives 4.6 g cm⁻³.

Relative energies with respect to the most stable structure, expressed in eV/atom: #a 0.000; #b 0.106.